No. 1
Computed, not measured: a relaxed structure of Nd3Sn4Au4 at the PBE level of DFT.

As for the formation energy from the elements: -0.61 eV/atom. As for the total energy: -50.1 eV per cell. For the density of states at the Fermi level, the calculation gives 4.35 states/eV/cell. The total moment comes out at 0.000 μB/cell.

a = 4.4388 Å, b = 7.6780 Å, c = 9.1677 Å
α = 114.76°, β = 104.01°, γ = 90.00°
Closest atoms and distances in Å follow each position.
Fractional coordinates of all 11 atoms:
Au 0.5000 0.1874 0.0000  2 Sn 2.75, 1 Au 2.88
Au 0.7804 0.2804 0.5608  6 Sn 2.85-2.98
Au 0.2196 0.7196 0.4392  6 Sn 2.85-2.98
Au 0.5000 0.8126 0.0000  2 Sn 2.75, 1 Au 2.88
Sn 0.6625 0.8629 0.3251  4 Au 2.75-2.98
Sn 0.6625 0.4622 0.3251  4 Au 2.75-2.98
Sn 0.3375 0.5378 0.6749  4 Au 2.75-2.98
Sn 0.3375 0.1371 0.6749  4 Au 2.75-2.98
Nd 0.1201 0.1201 0.2402  4 Sn 3.27, 6 Au 3.27-3.40
Nd 0.8799 0.8799 0.7598  4 Sn 3.27, 6 Au 3.27-3.40
Nd 0.0000 0.5000 0.0000  6 Au 3.27-3.52

---

No. 2
Computed, not measured: a relaxed structure of PaTaSe2 at the PBE level of DFT.

The formation energy without anion corrections comes out at -0.4253 eV/atom. As for the total energy: -30.0 eV per cell. For the density of states at the Fermi level, the calculation gives 4.70 states/eV/cell. The total moment comes out at 0.000 μB/cell.

a = 3.2978 Å, b = 3.2978 Å, c = 9.6574 Å
α = 80.17°, β = 80.17°, γ = 60.00°
Closest atoms and distances in Å follow each position.
Fractional coordinates of all 4 atoms:
Se 0.1038 0.1038 0.6887  3 Ta 2.61
Se 0.8962 0.8962 0.3113  3 Ta 2.61
Ta 0.5000 0.5000 0.5000  6 Se 2.61
Pa 0.0000 0.0000 0.0000  2 Se 2.95, 6 Pa 3.30